First-principles (GGA-PBE) data for crystalline AcPuHO6 at its relaxed geometry, as listed in the Alexandria database.

abc: 5.029 5.326 5.515
angles: 88.98 67.95 82.87
Space group P1 (No. 1)
Inequivalent atoms, fractional coordinates:
Ac1 0.000 0.000 0.000 (multiplicity 1)
Pu1 0.377 0.489 0.406 (multiplicity 1)
H1 0.442 0.371 0.911 (multiplicity 1)
O1 0.087 0.298 0.625 (multiplicity 1)
O2 0.107 0.763 0.385 (multiplicity 1)
O3 0.352 0.662 0.743 (multiplicity 1)
O4 0.411 0.241 0.048 (multiplicity 1)
O5 0.661 0.231 0.428 (multiplicity 1)
O6 0.677 0.648 0.151 (multiplicity 1)

As for the energy: -7.94 eV per atom.